VASP calculation (GGA-PBE) on a relaxed CePmDyGa crystal.

Results
Formation energy from the elements = -49.8 meV/atom
Calculated volume = 26.8 A^3/atom
DOS(E_F) = 34.94 states/eV/cell
DFT total energy = -4.628 eV/atom

Lattice parameters (Å, degrees): 7.5387 7.5387 7.5387 90.00 90.00 90.00
Closest atoms and distances in Å follow each position.
Space group F-43m (No. 216)
Unique sites:
1 Ce 0.0000 0.0000 0.0000 x4  4 Pm 3.26, 4 Ga 3.26
2 Pm 0.2500 0.2500 0.7500 x4  4 Dy 3.26, 4 Ce 3.26
3 Dy 0.0000 0.0000 0.5000 x4  4 Pm 3.26, 4 Ga 3.26
4 Ga 0.2500 0.2500 0.2500 x4  4 Dy 3.26, 4 Ce 3.26

***

VASP calculation (GGA-PBE) on a relaxed Na2HgHSe crystal.

Results
Calculated volume = 19.3 A^3/atom
DOS(E_F) = 1.26 states/eV/cell
DFT total energy = -2.377 eV/atom

Lattice parameters (Å, degrees): 4.8537 4.8537 4.0917 90.00 90.00 90.00
Closest atoms and distances in Å follow each position.
Space group P4/mmm (No. 123)
Unique sites:
1 Na 0.0000 0.5000 0.0000 x2  2 H 2.43
2 Hg 0.0000 0.0000 0.5000 x1  2 H 2.05
3 H 0.0000 0.0000 0.0000 x1  2 Hg 2.05
4 Se 0.5000 0.5000 0.5000 x1  8 Na 3.17, 4 Hg 3.43

***

VASP calculation (GGA-PBE) on a relaxed Pr2Dy3Pt2 crystal.

Results
Formation energy from the elements = -765.1 meV/atom
Calculated volume = 27.8 A^3/atom
DOS(E_F) = 16.01 states/eV/cell
DFT total energy = -5.829 eV/atom

Lattice parameters (Å, degrees): 12.6104 3.7914 9.1770 90.00 117.45 90.00
Closest atoms and distances in Å follow each position.
Space group C2/m (No. 12)
Unique sites:
1 Pr 0.1599 0.0000 0.3122 x4  2 Pt 3.11
2 Dy 0.0000 0.5000 0.5000 x2  4 Pt 2.94
3 Dy 0.1170 0.5000 0.9367 x4  3 Pt 2.86-2.95
4 Pt 0.1663 0.0000 0.7421 x4  5 Dy 2.86-2.95, 2 Pr 3.11

***

VASP calculation (GGA-PBE) on a relaxed ErZrNiPd crystal.

Results
Formation energy from the elements = -518.5 meV/atom
Calculated volume = 18.9 A^3/atom
DOS(E_F) = 12.01 states/eV/cell
DFT total energy = -6.540 eV/atom

Lattice parameters (Å, degrees): 6.7070 6.7070 6.7070 90.00 90.00 90.00
Closest atoms and distances in Å follow each position.
Space group F-43m (No. 216)
Unique sites:
1 Er 0.0000 0.0000 0.0000 x4  4 Ni 2.90, 4 Pd 2.90
2 Zr 0.0000 0.0000 0.5000 x4  4 Pd 2.90, 4 Ni 2.90
3 Ni 0.2500 0.2500 0.2500 x4  4 Zr 2.90, 4 Er 2.90
4 Pd 0.2500 0.2500 0.7500 x4  4 Er 2.90, 4 Zr 2.90